Entry 1:
The following is a GGA-PBE calculation of an optimized crystal structure of LaMgZn2Si2, from the Alexandria database.

```
LaMgZn2Si2
1.0
4.342 0.000 0.000
-2.171 3.760 0.000
0.000 0.000 7.103
Zn Si Mg La
2 2 1 1
Direct
0.333 0.667 0.687 Zn
0.667 0.333 0.313 Zn
0.667 0.333 0.725 Si
0.333 0.667 0.275 Si
0.000 0.000 0.500 Mg
0.000 0.000 0.000 La
```

- energy relative to the elements, uncorrected (eV per atom) = -0.37
- calculated total energy (eV per atom) = -3.6889

---

Entry 2:
The following is a GGA-PBE calculation of an optimized crystal structure of LaMgZnSi, from the Alexandria database.

```
LaMgZnSi
1.0
4.979 0.000 0.000
2.489 4.312 0.000
2.489 1.437 4.065
Mg Zn La Si
1 1 1 1
Direct
0.500 0.500 0.500 Mg
0.250 0.250 0.250 Zn
0.000 0.000 0.000 La
0.750 0.750 0.750 Si
```

- energy relative to the elements, uncorrected (eV per atom) = -0.29
- calculated total energy (eV per atom) = -3.5954

---

Entry 3:
The following is a GGA-PBE calculation of an optimized crystal structure of La3Sm4Mg, from the Alexandria database.

```
La3Sm4Mg
1.0
6.370 0.000 0.000
0.000 7.318 0.000
0.000 0.000 11.654
La Mg Sm
6 2 8
Direct
0.149 0.879 0.242 La
0.649 0.121 0.258 La
0.996 0.130 0.500 La
0.496 0.870 0.000 La
0.149 0.879 0.758 La
0.649 0.121 0.742 La
0.485 0.873 0.500 Mg
0.985 0.127 0.000 Mg
0.144 0.373 0.243 Sm
0.144 0.373 0.757 Sm
0.465 0.389 0.500 Sm
0.644 0.627 0.257 Sm
0.965 0.611 0.000 Sm
0.644 0.627 0.743 Sm
0.484 0.371 0.000 Sm
0.984 0.629 0.500 Sm
```

- ΔH_f (0 K) (meV/atom) = 8
- calculated total energy (eV per atom) = -4.3987

---

Entry 4:
The following is a GGA-PBE calculation of an optimized crystal structure of La2Sm2Mg, from the Alexandria database.

```
La2Sm2Mg
1.0
3.714 0.000 -0.596
-0.096 3.713 -0.596
0.023 0.024 12.019
Sm Mg La
2 1 2
Direct
0.586 0.586 0.172 Sm
0.414 0.414 0.828 Sm
0.000 0.000 0.000 Mg
0.193 0.193 0.387 La
0.807 0.807 0.613 La
```

- ΔH_f (0 K) (meV/atom) = -23
- calculated total energy (eV per atom) = -4.2008

---

Entry 5:
The following is a GGA-PBE calculation of an optimized crystal structure of LaSm5Mg4, from the Alexandria database.

```
LaSm5Mg4
1.0
-0.291 3.750 -0.645
-3.757 -0.385 -0.544
-3.237 3.204 20.100
Sm La Mg
5 1 4
Direct
0.500 0.500 0.878 Sm
0.500 0.500 0.122 Sm
0.500 0.500 0.500 Sm
0.500 0.500 0.688 Sm
0.500 0.500 0.312 Sm
0.000 0.000 0.000 La
0.000 0.000 0.406 Mg
0.000 0.000 0.594 Mg
0.000 0.000 0.783 Mg
0.000 0.000 0.217 Mg
```

- ΔH_f (0 K) (meV/atom) = -72
- calculated total energy (eV per atom) = -3.5621

---

Entry 6:
The following is a GGA-PBE calculation of an optimized crystal structure of LaSm5Mg3, from the Alexandria database.

```
LaSm5Mg3
1.0
-2.332 3.849 -5.483
-8.767 0.203 3.872
6.339 6.869 2.126
Mg Sm La
6 10 2
Direct
0.250 0.000 0.336 Mg
0.750 0.664 0.000 Mg
0.250 0.664 0.664 Mg
0.250 0.336 0.000 Mg
0.750 0.000 0.664 Mg
0.750 0.336 0.336 Mg
0.000 0.333 0.667 Sm
0.250 0.335 0.335 Sm
0.000 0.667 0.333 Sm
0.750 0.665 0.665 Sm
0.750 0.000 0.335 Sm
0.750 0.335 0.000 Sm
0.250 0.000 0.665 Sm
0.500 0.667 0.333 Sm
0.500 0.333 0.667 Sm
0.250 0.665 0.000 Sm
0.500 0.000 0.000 La
0.000 0.000 0.000 La
```

- ΔH_f (0 K) (meV/atom) = 13
- calculated total energy (eV per atom) = -3.6873

---

Entry 7:
The following is a GGA-PBE calculation of an optimized crystal structure of La2SmMg, from the Alexandria database.

```
La2SmMg
1.0
-2.929 -2.113 1.222
-0.793 -0.982 -3.598
5.579 -7.295 0.760
Mg La Sm
1 2 1
Direct
0.500 0.500 0.000 Mg
0.000 0.000 0.230 La
0.000 0.000 0.770 La
0.500 0.500 0.500 Sm
```

- ΔH_f (0 K) (meV/atom) = -35
- calculated total energy (eV per atom) = -4.0771

---

Entry 8:
The following is a GGA-PBE calculation of an optimized crystal structure of La2SmMg, from the Alexandria database.

```
La2SmMg
1.0
-4.464 3.581 0.356
-3.368 0.846 -4.562
-5.347 -2.070 -0.040
La Sm Mg
2 1 1
Direct
0.750 0.750 0.750 La
0.250 0.250 0.250 La
0.000 0.000 0.000 Sm
0.500 0.500 0.500 Mg
```

- ΔH_f (0 K) (meV/atom) = 22
- calculated total energy (eV per atom) = -4.0199